# PaFeBi2O6, relaxed, DFT PBE with a Hubbard U
data_PaFeBi2O6
_chemical_formula_sum 'Pa2 Fe2 Bi4 O12'
_symmetry_space_group_name_H-M 'C 1 2/m 1'
_symmetry_Int_Tables_number 12
_cell_length_a 10.0375
_cell_length_b 5.8678
_cell_length_c 6.2081
_cell_angle_alpha 90.00
_cell_angle_beta 126.07
_cell_angle_gamma 90.00
loop_
_symmetry_equiv_pos_as_xyz
'x,y,z'
'-x,-y,-z'
'-x,y,-z'
'x,-y,z'
'x+1/2,y+1/2,z'
'-x+1/2,-y+1/2,-z'
'-x+1/2,y+1/2,-z'
'x+1/2,-y+1/2,z'
loop_
_atom_site_label
_atom_site_type_symbol
_atom_site_fract_x
_atom_site_fract_y
_atom_site_fract_z
Pa1 Pa 0.0000 0.0000 0.0000
Fe1 Fe 0.0000 0.5000 0.5000
Bi1 Bi 0.2313 0.0000 0.6919
O1 O 0.0786 0.2524 0.3280
O2 O 0.2504 0.0000 0.1419
# DOS(E_F) = 0.138 states/eV per atom
# VASP energy = -0.26271 hartree per atom